(1)
A plane-wave DFT calculation with GGA-PBE was carried out for SrLiBiO2 after structural relaxation.

The structure in CIF format:
```
data_SrLiBiO2
_cell_length_a 4.701
_cell_length_b 4.701
_cell_length_c 4.710
_cell_angle_alpha 90.00
_cell_angle_beta 90.00
_cell_angle_gamma 90.00
_space_group_name_H-M_alt 'P 1'
_space_group_IT_number 1
loop_
_space_group_symop_operation_xyz
'x,y,z'
loop_
_atom_site_label
_atom_site_type_symbol
_atom_site_fract_x
_atom_site_fract_y
_atom_site_fract_z
Sr1 Sr 0.000 0.000 0.000
Li1 Li 0.500 0.500 0.000
Bi1 Bi 0.500 0.500 0.500
O1 O 0.000 0.500 0.500
O2 O 0.500 0.000 0.500
```

Properties
Formation energy (no corrections) ... -3.6 eV per formula unit
Symmetry ... P4/mmm (123)


(2)
A plane-wave DFT calculation with GGA-PBE was carried out for Nd2Cd3Ag2 after structural relaxation.

The structure in CIF format:
```
data_Nd2Cd3Ag2
_cell_length_a 5.701
_cell_length_b 5.701
_cell_length_c 7.467
_cell_angle_alpha 108.94
_cell_angle_beta 108.94
_cell_angle_gamma 48.96
_space_group_name_H-M_alt 'P 1'
_space_group_IT_number 1
loop_
_space_group_symop_operation_xyz
'x,y,z'
loop_
_atom_site_label
_atom_site_type_symbol
_atom_site_fract_x
_atom_site_fract_y
_atom_site_fract_z
Nd1 Nd 0.142 0.142 0.274
Nd2 Nd 0.858 0.858 0.726
Cd1 Cd 0.382 0.382 0.067
Cd2 Cd 0.500 0.500 0.500
Cd3 Cd 0.618 0.618 0.933
Ag1 Ag 0.153 0.153 0.708
Ag2 Ag 0.847 0.847 0.292
```

Properties
Formation energy ... -0.2937 eV/atom
Offset from the most stable computed form ... 0 meV/atom
Symmetry ... C2/m (12)


(3)
A plane-wave DFT calculation with GGA-PBE was carried out for TmU5As6 after structural relaxation.

The structure in CIF format:
```
data_TmU5As6
_cell_length_a 7.096
_cell_length_b 7.096
_cell_length_c 7.042
_cell_angle_alpha 99.69
_cell_angle_beta 99.69
_cell_angle_gamma 120.07
_space_group_name_H-M_alt 'P 1'
_space_group_IT_number 1
loop_
_space_group_symop_operation_xyz
'x,y,z'
loop_
_atom_site_label
_atom_site_type_symbol
_atom_site_fract_x
_atom_site_fract_y
_atom_site_fract_z
Tm1 Tm 0.000 0.000 0.000
U1 U 0.168 0.832 0.500
U2 U 0.334 0.666 0.000
U3 U 0.500 0.500 0.500
U4 U 0.666 0.334 0.000
U5 U 0.832 0.168 0.500
As1 As 0.082 0.414 0.248
As2 As 0.247 0.247 0.750
As3 As 0.414 0.082 0.248
As4 As 0.586 0.918 0.752
As5 As 0.753 0.753 0.250
As6 As 0.918 0.586 0.752
```

Properties
Formation energy ... -0.8489 eV/atom
Symmetry ... C2/m (12)


(4)
A plane-wave DFT calculation with GGA-PBE was carried out for LiZrGaO4 after structural relaxation.

The structure in CIF format:
```
data_LiZrGaO4
_cell_length_a 6.078
_cell_length_b 6.078
_cell_length_c 6.078
_cell_angle_alpha 121.13
_cell_angle_beta 115.88
_cell_angle_gamma 92.66
_space_group_name_H-M_alt 'P 1'
_space_group_IT_number 1
loop_
_space_group_symop_operation_xyz
'x,y,z'
loop_
_atom_site_label
_atom_site_type_symbol
_atom_site_fract_x
_atom_site_fract_y
_atom_site_fract_z
Li1 Li 0.500 0.000 0.000
Li2 Li 0.500 0.500 0.500
Zr1 Zr 0.000 0.000 0.000
Zr2 Zr 0.500 0.000 0.500
Ga1 Ga 0.118 0.368 0.750
Ga2 Ga 0.882 0.632 0.250
O1 O 0.240 0.247 0.993
O2 O 0.245 0.753 0.493
O3 O 0.253 0.241 0.488
O4 O 0.253 0.765 0.012
O5 O 0.747 0.235 0.988
O6 O 0.747 0.759 0.512
O7 O 0.755 0.247 0.507
O8 O 0.760 0.753 0.007
```

Properties
Formation energy (no corrections) ... -17.2 eV per formula unit
Symmetry ... Imma (74)


Sequential DOS(E_F) output: 1.60; 4.92; 27.32; 0.00 states/eV/cell